The following is a DFT calculation (GGA-PBEsol) of a geometry-optimized Li2NbP2O8 structure.

The calculation puts the relative energy among the computed polymorphs at 0.000 kcal/mol of atoms. Its raw formation energy is -2.34 eV per atom. Its total energy is -7.592 eV per atom. The calculation puts the calculated volume at 329.4 Å³ per cell.

It has space group P2_1/c (No. 14), with a = 5.235 Å, b = 7.997 Å, c = 9.447 Å, α = 90.00°, β = 123.58° and γ = 90.00°. Symmetry generates all atoms from Li at (0.075, 0.142, 0.076), Nb at (0.000, 0.000, 0.500), P at (0.298, 0.696, 0.797), O at (0.156, 0.571, 0.654), O at (0.171, 0.677, 0.912), O at (0.227, 0.621, 0.227) and O at (0.347, 0.178, 0.588).

The following is a DFT calculation (GGA-PBEsol) of a geometry-optimized MgHgPb structure.

The energy relative to the elements is -0.1185 eV/atom. Its total energy is -2.213 eV per atom. The calculation puts the calculated volume at 145.7 Å³ per cell.

It has space group Imm2 (No. 44), with a = 3.442 Å, b = 3.747 Å, c = 11.300 Å, α = 90.00°, β = 90.00° and γ = 90.00°. Symmetry generates all atoms from Mg at (0.000, 0.000, 0.000), Hg at (0.000, 0.000, 0.370) and Pb at (0.000, 0.000, 0.685).

The following is a DFT calculation (GGA-PBEsol) of a geometry-optimized BaAl2Sb structure.

Its raw formation energy is -0.15 eV per atom. Its total energy is -3.877 eV per atom. The calculation puts the calculated volume at 127.0 Å³ per cell.

It has space group P2/m (No. 10), with a = 4.893 Å, b = 5.080 Å, c = 5.115 Å, α = 90.00°, β = 92.11° and γ = 90.00°. Symmetry generates all atoms from Ba at (0.000, 0.000, 0.000), Al at (0.251, 0.500, 0.595) and Sb at (0.500, 0.000, 0.500).